# 1
Entry from Alexandria: a relaxed PmHoCuBi crystal (GGA-PBE).

Structure (CIF):
```
data_PmHoCuBi
_chemical_formula_sum 'Pm4 Ho4 Cu4 Bi4'
_space_group_name_H-M_alt 'F -4 3 m'
_space_group_IT_number 216
_space_group_name_Hall 'F -4 2 3'
_cell_length_a 7.442
_cell_length_b 7.442
_cell_length_c 7.442
_cell_angle_alpha 90.00
_cell_angle_beta 90.00
_cell_angle_gamma 90.00
loop_
_atom_site_label
_atom_site_fract_x
_atom_site_fract_y
_atom_site_fract_z
_atom_site_occupancy
Pm1 0.000 0.000 0.000 1
Ho1 0.000 0.000 0.500 1
Cu1 0.250 0.250 0.750 1
Bi1 0.250 0.250 0.250 1
```

Its raw total energy is -18.6 eV per formula unit. Its mass density is 9.39 g/cm3. The volume comes out at 25.76 A^3/atom. The density of states at the Fermi level is 16.2 states/eV per cell. Its crystal system is cubic. For the total magnetic moment, the calculation gives 0.0000 μB per atom. The formation energy is -0.33 eV/atom.

# 2
Entry from Alexandria: a relaxed BaOsPt crystal (GGA-PBE).

Structure (CIF):
```
data_BaOsPt
_chemical_formula_sum 'Ba4 Os4 Pt4'
_space_group_name_H-M_alt 'C 1 2/m 1'
_space_group_IT_number 12
_space_group_name_Hall '-C 2y'
_cell_length_a 11.960
_cell_length_b 4.504
_cell_length_c 6.526
_cell_angle_alpha 90.00
_cell_angle_beta 118.88
_cell_angle_gamma 90.00
loop_
_atom_site_label
_atom_site_fract_x
_atom_site_fract_y
_atom_site_fract_z
_atom_site_occupancy
Ba1 0.110 0.000 0.297 1
Os1 0.097 0.500 0.677 1
Pt1 0.204 0.000 0.860 1
```

Its raw total energy is -19.3 eV per formula unit. Its mass density is 11.28 g/cm3. The volume comes out at 25.66 A^3/atom. The density of states at the Fermi level is 5.5 states/eV per cell. Its crystal system is monoclinic. For the total magnetic moment, the calculation gives 0.0000 μB per atom. The formation energy is -0.04 eV/atom.

# 3
Entry from Alexandria: a relaxed Zn4Ga crystal (GGA-PBE).

Structure (CIF):
```
data_Zn4Ga
_chemical_formula_sum 'Zn8 Ga2'
_space_group_name_H-M_alt 'C 1 2/m 1'
_space_group_IT_number 12
_space_group_name_Hall '-C 2y'
_cell_length_a 8.396
_cell_length_b 3.838
_cell_length_c 6.105
_cell_angle_alpha 90.00
_cell_angle_beta 125.65
_cell_angle_gamma 90.00
loop_
_atom_site_label
_atom_site_fract_x
_atom_site_fract_y
_atom_site_fract_z
_atom_site_occupancy
Zn1 0.102 0.000 0.405 1
Zn2 0.195 0.500 0.791 1
Ga1 0.000 0.500 0.000 1
```

Its raw total energy is -8.0 eV per formula unit. Its mass density is 6.88 g/cm3. The volume comes out at 15.99 A^3/atom. The density of states at the Fermi level is 2.6 states/eV per cell. Its crystal system is monoclinic. For the total magnetic moment, the calculation gives 0.0000 μB per atom. The formation energy is 0.03 eV/atom.

# 4
Entry from Alexandria: a relaxed CaCuAu2 crystal (GGA-PBE).

Structure (CIF):
```
data_CaCuAu2
_chemical_formula_sum 'Ca4 Cu4 Au8'
_space_group_name_H-M_alt 'I -4 2 d'
_space_group_IT_number 122
_space_group_name_Hall 'I -4 2bw'
_cell_length_a 4.772
_cell_length_b 4.772
_cell_length_c 17.314
_cell_angle_alpha 90.00
_cell_angle_beta 90.00
_cell_angle_gamma 90.00
loop_
_atom_site_label
_atom_site_fract_x
_atom_site_fract_y
_atom_site_fract_z
_atom_site_occupancy
Ca1 0.000 0.000 0.000 1
Cu1 0.000 0.000 0.500 1
Au1 0.141 0.250 0.625 1
```

Its raw total energy is -13.4 eV per formula unit. Its mass density is 8.38 g/cm3. The volume comes out at 24.64 A^3/atom. The density of states at the Fermi level is 4.1 states/eV per cell. Its crystal system is tetragonal. For the total magnetic moment, the calculation gives 0.0000 μB per atom. The formation energy is -0.18 eV/atom.

# 5
Entry from Alexandria: a relaxed Rb2PaSiSe6 crystal (GGA-PBE).

Structure (CIF):
```
data_Rb2PaSiSe6
_chemical_formula_sum 'Rb2 Pa1 Si1 Se6'
_space_group_name_H-M_alt 'P -3 m 1'
_space_group_IT_number 164
_space_group_name_Hall '-P 3 2"'
_cell_length_a 7.6018
_cell_length_b 7.6018
_cell_length_c 6.3977
_cell_angle_alpha 90.00
_cell_angle_beta 90.00
_cell_angle_gamma 120.00
loop_
_atom_site_label
_atom_site_fract_x
_atom_site_fract_y
_atom_site_fract_z
_atom_site_occupancy
Rb1 0.3333 0.6667 0.2702 1
Pa1 0.0000 0.0000 0.0000 1
Si1 0.0000 0.0000 0.5000 1
Se1 0.1585 0.3169 0.7154 1
```

Its raw total energy is -47.3 eV per formula unit. Its mass density is 4.69 g/cm3. The volume comes out at 32.02 A^3/atom. The density of states at the Fermi level is 2.8 states/eV per cell. Its crystal system is trigonal. The value obtained for the energy relative to the elements, uncorrected is -0.96 eV/atom. For the total magnetic moment, the calculation gives 0.0000 μB per atom.

# 6
Entry from Alexandria: a relaxed Ti2Al2CrCuS8 crystal (GGA-PBE).

Structure (CIF):
```
data_Ti2Al2CrCuS8
_chemical_formula_sum 'Ti4 Al4 Cr2 Cu2 S16'
_space_group_name_H-M_alt 'C 1 m 1'
_space_group_IT_number 8
_space_group_name_Hall 'C -2y'
_cell_length_a 12.141
_cell_length_b 6.998
_cell_length_c 7.191
_cell_angle_alpha 90.00
_cell_angle_beta 124.51
_cell_angle_gamma 90.00
loop_
_atom_site_label
_atom_site_fract_x
_atom_site_fract_y
_atom_site_fract_z
_atom_site_occupancy
Ti1 0.000 0.223 0.000 1
Al1 0.264 0.500 0.510 1
Al2 0.394 0.000 0.398 1
Cr1 0.273 0.500 0.004 1
Cu1 0.137 0.000 0.631 1
S1 0.005 0.000 0.755 1
S2 0.007 0.000 0.253 1
S3 0.019 0.500 0.249 1
S4 0.024 0.500 0.785 1
S5 0.258 0.266 0.250 1
S6 0.263 0.268 0.755 1
```

Its raw total energy is -84.4 eV per formula unit. Its mass density is 3.44 g/cm3. The volume comes out at 17.98 A^3/atom. The density of states at the Fermi level is 9.1 states/eV per cell. Its crystal system is monoclinic. The value obtained for the energy relative to the elements, uncorrected is -1.03 eV/atom. For the total magnetic moment, the calculation gives 0.0747 μB per atom.

# 7
Entry from Alexandria: a relaxed Dy8C3S4F crystal (GGA-PBE).

Structure (CIF):
```
data_Dy8C3S4F
_chemical_formula_sum 'Dy24 C9 S12 F3'
_space_group_name_H-M_alt 'R -3 m'
_space_group_IT_number 166
_space_group_name_Hall '-R 3 2"'
_cell_length_a 7.4465
_cell_length_b 7.4465
_cell_length_c 18.7965
_cell_angle_alpha 90.00
_cell_angle_beta 90.00
_cell_angle_gamma 120.00
loop_
_atom_site_label
_atom_site_fract_x
_atom_site_fract_y
_atom_site_fract_z
_atom_site_occupancy
Dy1 0.0000 0.0000 0.2384 1
Dy2 0.0177 0.5088 0.7600 1
C1 0.0000 0.5000 0.5000 1
S1 0.0000 0.0000 0.0000 1
S2 0.0000 0.5000 0.0000 1
F1 0.0000 0.0000 0.5000 1
```

Its raw total energy is -107.5 eV per formula unit. Its mass density is 8.19 g/cm3. The volume comes out at 18.81 A^3/atom. The density of states at the Fermi level is 9.0 states/eV per cell. Its crystal system is trigonal. The value obtained for the energy relative to the elements, uncorrected is -1.54 eV/atom. For the total magnetic moment, the calculation gives 0.0000 μB per atom.

# 8
Entry from Alexandria: a relaxed ReAsWBr2 crystal (GGA-PBE).

Structure (CIF):
```
data_ReAsWBr2
_chemical_formula_sum 'Re1 As1 W1 Br2'
_space_group_name_H-M_alt 'P 4/m m m'
_space_group_IT_number 123
_space_group_name_Hall '-P 4 2'
_cell_length_a 5.121
_cell_length_b 5.121
_cell_length_c 4.834
_cell_angle_alpha 90.00
_cell_angle_beta 90.00
_cell_angle_gamma 90.00
loop_
_atom_site_label
_atom_site_fract_x
_atom_site_fract_y
_atom_site_fract_z
_atom_site_occupancy
Re1 0.000 0.000 0.000 1
As1 0.000 0.000 0.500 1
W1 0.500 0.500 0.500 1
Br1 0.000 0.500 0.000 1
```

Its raw total energy is -24.9 eV per formula unit. Its mass density is 7.92 g/cm3. The volume comes out at 25.35 A^3/atom. The density of states at the Fermi level is 7.4 states/eV per cell. Its crystal system is tetragonal. The value obtained for the energy relative to the elements, uncorrected is 1.69 eV/atom. For the total magnetic moment, the calculation gives 1.1440 μB per atom.